# PBE Tm2Zn3Ge, optimized geometry
# Crystal system: orthorhombic
# E_form, eV/atom: -0.478
# Excess energy over the best structure of this formula in the dataset, eV/f.u.: 0.159
# Uncorrected energy, eV per atom: -3.3752
# DOS(E_F), states/eV per cell: 3.49
data_Tm2Zn3Ge
_symmetry_space_group_name_H-M 'P m m 2'
_symmetry_Int_Tables_number 25
_symmetry_space_group_name_Hall 'P 2 -2'
_cell_length_a 3.584
_cell_length_b 4.355
_cell_length_c 7.514
_cell_angle_alpha 90.00
_cell_angle_beta 90.00
_cell_angle_gamma 90.00
loop_
_atom_site_label
_atom_site_fract_x
_atom_site_fract_y
_atom_site_fract_z
_atom_site_occupancy
Tm1 0.000 0.000 0.000 1
Tm2 0.000 0.500 0.487 1
Zn1 0.500 0.000 0.668 1
Zn2 0.500 0.500 0.152 1
Zn3 0.500 0.500 0.822 1
Ge1 0.500 0.000 0.331 1